[1]
Tl3As3P | GGA-PBE | relaxed

abc: 6.2141 6.2141 6.2141
angles: 107.91 107.91 107.91
Closest atoms and distances in Å follow each position.
Sites, in units of the cell vectors:
As 0.0060 0.0060 0.6215  1 P 2.25
As 0.6215 0.0060 0.0060  1 P 2.25
As 0.0060 0.6215 0.0060  1 P 2.25
P 0.9205 0.9205 0.9205  3 As 2.25
Tl 0.5457 0.5457 0.1540  5 As 3.09-3.41
Tl 0.1540 0.5457 0.5457  5 As 3.09-3.41
Tl 0.5457 0.1540 0.5457  5 As 3.09-3.41

Calculated values
* calculated formation energy: 154.5 meV/atom
* mass density: 7.41 g/cm3
* space group: R3m (160)

[2]
Tb2YTmBi5 | GGA-PBE | relaxed

abc: 5.3666 5.3666 11.8659
angles: 90.00 90.00 90.00
Closest atoms and distances in Å follow each position.
Sites, in units of the cell vectors:
Tb 0.5000 0.5000 0.7321  1 Bi 3.18
Tm 0.0000 0.0000 0.5000  6 Bi 2.68-3.00
Bi 0.5000 0.5000 0.0000  2 Tb 3.18
Bi 0.0000 0.0000 0.7532  1 Y 2.93, 1 Tm 3.00
Bi 0.5000 0.0000 0.5000  2 Tm 2.68
Bi 0.0000 0.0000 0.2468  1 Y 2.93, 1 Tm 3.00
Bi 0.0000 0.5000 0.5000  2 Tm 2.68
Tb 0.5000 0.5000 0.2679  1 Bi 3.18
Y 0.0000 0.0000 0.0000  2 Bi 2.93

Calculated values
* calculated formation energy: -27.8 meV/atom
* mass density: 7.87 g/cm3
* space group: P4/mmm (123)

[3]
GdAlCu | GGA-PBE | relaxed

abc: 3.5898 4.4419 4.4419
angles: 120.00 90.00 90.00
Closest atoms and distances in Å follow each position.
Sites, in units of the cell vectors:
Gd 0.6669 0.6667 0.3333  6 Cu 3.13, 6 Al 3.13
Al 0.1667 0.3333 0.6667  3 Cu 2.56
Cu 0.1664 0.0000 0.0000  3 Al 2.56

Calculated values
* calculated formation energy: -371.3 meV/atom
* mass density: 6.71 g/cm3
* space group: P-6m2 (187)